# Y2ScCd

A relaxed structure of Y2ScCd (GGA-PBEsol, Alexandria).

Cell lengths 3.4391, 4.9761, 6.3722 Å; angles 90.00, 105.66, 90.00 degrees
Last column: nearest neighbours and their distance in Å.
Fractional coordinates of all 4 atoms:
Y (0.4200, 0.5000, 0.8400)  4 Cd 3.26, 3 Sc 3.30-3.32, 6 Y 3.44-3.65
Y (0.0872, 0.0000, 0.1744)  4 Sc 3.27, 3 Cd 3.28-3.33, 6 Y 3.44-3.65
Cd (0.8200, 0.0000, 0.6401)  2 Sc 2.97, 5 Y 3.26-3.28
Sc (0.6886, 0.5000, 0.3772)  2 Cd 2.97, 7 Y 3.27-3.32

Volume, Å³/atom: 26.251
Density, g cm⁻³: 5.30
Space-group type: Amm2 (38)

---

# YScCd4

A relaxed structure of YScCd4 (GGA-PBEsol, Alexandria).

Cell lengths 5.7179, 5.7179, 5.7179 Å; angles 60.00, 60.00, 60.00 degrees
Last column: nearest neighbours and their distance in Å.
Fractional coordinates of all 6 atoms:
Cd (0.3752, 0.3752, 0.8745)  6 Cd 2.86
Cd (0.8745, 0.3752, 0.3752)  6 Cd 2.86
Cd (0.3752, 0.8745, 0.3752)  6 Cd 2.86
Cd (0.3752, 0.3752, 0.3752)  6 Cd 2.86
Y (0.0000, 0.0000, 0.0000)  12 Cd 3.35, 4 Sc 3.50
Sc (0.7500, 0.7500, 0.7500)  12 Cd 3.35, 4 Y 3.50

Volume, Å³/atom: 22.031
Density, g cm⁻³: 7.33
Space-group type: F-43m (216)

---

# Y2ScCd

A relaxed structure of Y2ScCd (GGA-PBEsol, Alexandria).

Cell lengths 3.7872, 5.0722, 6.2526 Å; angles 113.93, 107.63, 90.00 degrees
Last column: nearest neighbours and their distance in Å.
Fractional coordinates of all 4 atoms:
Y (0.7738, 0.7738, 0.5475)  2 Cd 3.09, 4 Y 3.21
Y (0.2262, 0.2262, 0.4525)  2 Cd 3.09, 4 Y 3.21
Cd (0.5000, 0.0000, 0.0000)  4 Y 3.09, 4 Sc 3.17
Sc (0.0000, 0.5000, 0.0000)  4 Cd 3.17, 8 Y 3.51-3.52

Volume, Å³/atom: 25.896
Density, g cm⁻³: 5.37
Space-group type: Immm (71)

---

# YScCd2

A relaxed structure of YScCd2 (GGA-PBEsol, Alexandria).

Cell lengths 3.6260, 5.0488, 5.0471 Å; angles 90.00, 89.97, 90.00 degrees
Last column: nearest neighbours and their distance in Å.
Fractional coordinates of all 4 atoms:
Cd (0.8750, 0.0000, 0.8759)  4 Sc 3.11, 4 Y 3.11
Cd (0.8750, 0.5000, 0.3742)  4 Y 3.11, 4 Sc 3.11
Sc (0.3750, 0.0000, 0.3755)  8 Cd 3.11
Y (0.3750, 0.5000, 0.8744)  8 Cd 3.11

Volume, Å³/atom: 23.100
Density, g cm⁻³: 6.45
Space-group type: Pmm2 (25)

---

# Y2ScCd

A relaxed structure of Y2ScCd (GGA-PBEsol, Alexandria).

Cell lengths 3.5095, 3.5095, 8.4999 Å; angles 90.00, 90.00, 90.00 degrees
Last column: nearest neighbours and their distance in Å.
Fractional coordinates of all 4 atoms:
Sc (0.5000, 0.5000, 0.5000)  8 Y 3.33, 4 Sc 3.51
Cd (0.5000, 0.5000, 0.0000)  8 Y 3.21, 4 Cd 3.51
Y (0.0000, 0.0000, 0.7607)  4 Cd 3.21, 4 Sc 3.33, 4 Y 3.51
Y (0.0000, 0.0000, 0.2393)  4 Cd 3.21, 4 Sc 3.33, 4 Y 3.51

Volume, Å³/atom: 26.172
Density, g cm⁻³: 5.32
Space-group type: P4/mmm (123)

---

# YScCd2

A relaxed structure of YScCd2 (GGA-PBEsol, Alexandria).

Cell lengths 3.5642, 3.5642, 7.2310 Å; angles 90.00, 90.00, 90.00 degrees
Last column: nearest neighbours and their distance in Å.
Fractional coordinates of all 4 atoms:
Cd (0.0000, 0.0000, 0.2272)  4 Sc 3.01, 4 Y 3.20, 1 Cd 3.29
Cd (0.0000, 0.0000, 0.7728)  4 Sc 3.01, 4 Y 3.20, 1 Cd 3.29
Y (0.5000, 0.5000, 0.5000)  8 Cd 3.20, 4 Y 3.56
Sc (0.5000, 0.5000, 0.0000)  8 Cd 3.01

Volume, Å³/atom: 22.965
Density, g cm⁻³: 6.48
Space-group type: P4/mmm (123)

---

# YSc2Cd

A relaxed structure of YSc2Cd (GGA-PBEsol, Alexandria).

Cell lengths 3.3670, 4.4297, 6.4435 Å; angles 90.00, 90.00, 90.00 degrees
Last column: nearest neighbours and their distance in Å.
Fractional coordinates of all 4 atoms:
Sc (0.5000, 0.5000, 0.2307)  1 Cd 3.03, 6 Sc 3.15-3.37, 4 Y 3.31
Sc (0.0000, 0.0000, 0.0017)  6 Sc 3.15-3.37, 2 Y 3.18-3.26, 4 Cd 3.19
Y (0.0000, 0.0000, 0.5078)  6 Sc 3.18-3.31, 4 Cd 3.22, 2 Y 3.37
Cd (0.5000, 0.5000, 0.7598)  5 Sc 3.03-3.19, 4 Y 3.22, 2 Cd 3.37

Volume, Å³/atom: 24.026
Density, g cm⁻³: 5.03
Space-group type: Pmm2 (25)

---

# YSc2Cd

A relaxed structure of YSc2Cd (GGA-PBEsol, Alexandria).

Cell lengths 3.5531, 5.0924, 6.2110 Å; angles 114.20, 106.62, 90.00 degrees
Last column: nearest neighbours and their distance in Å.
Fractional coordinates of all 4 atoms:
Cd (0.0000, 0.5000, 0.0000)  4 Sc 3.00, 4 Y 3.10
Sc (0.7251, 0.7251, 0.4503)  2 Cd 3.00, 4 Sc 3.15
Sc (0.2749, 0.2749, 0.5497)  2 Cd 3.00, 4 Sc 3.15
Y (0.5000, 0.0000, 0.0000)  4 Cd 3.10, 4 Sc 3.45

Volume, Å³/atom: 24.333
Density, g cm⁻³: 4.97
Space-group type: Immm (71)

---

# ScZnCd2

A relaxed structure of ScZnCd2 (GGA-PBEsol, Alexandria).

Cell lengths 4.7179, 4.7179, 4.7179 Å; angles 60.00, 60.00, 60.00 degrees
Last column: nearest neighbours and their distance in Å.
Fractional coordinates of all 4 atoms:
Cd (0.5000, 0.5000, 0.5000)  4 Cd 2.89, 4 Sc 2.89
Cd (0.2500, 0.2500, 0.2500)  4 Cd 2.89, 4 Zn 2.89
Sc (0.7500, 0.7500, 0.7500)  4 Zn 2.89, 4 Cd 2.89
Zn (0.0000, 0.0000, 0.0000)  4 Cd 2.89, 4 Sc 2.89

Volume, Å³/atom: 18.564
Density, g cm⁻³: 7.50
Space-group type: F-43m (216)

---

# ScZnCd2

A relaxed structure of ScZnCd2 (GGA-PBEsol, Alexandria).

Cell lengths 3.1020, 3.1020, 7.8736 Å; angles 90.00, 90.00, 90.00 degrees
Last column: nearest neighbours and their distance in Å.
Fractional coordinates of all 4 atoms:
Cd (0.0000, 0.0000, 0.9788)  4 Zn 2.83, 8 Cd 3.05-3.10
Cd (0.5000, 0.5000, 0.2476)  8 Cd 3.05-3.10, 4 Sc 3.08
Zn (0.5000, 0.5000, 0.7518)  4 Cd 2.83, 4 Sc 2.84, 4 Zn 3.10
Sc (0.0000, 0.0000, 0.5217)  4 Zn 2.84, 4 Cd 3.08, 4 Sc 3.10

Volume, Å³/atom: 18.941
Density, g cm⁻³: 7.35
Space-group type: P4mm (99)

---

# ScZnCd2

A relaxed structure of ScZnCd2 (GGA-PBEsol, Alexandria).

Cell lengths 3.0601, 4.4023, 5.8874 Å; angles 90.00, 105.06, 90.00 degrees
Last column: nearest neighbours and their distance in Å.
Fractional coordinates of all 4 atoms:
Cd (0.1892, 0.0000, 0.3783)  2 Zn 2.70, 4 Cd 2.99
Cd (0.5725, 0.5000, 0.1450)  1 Zn 2.80, 6 Cd 2.99-3.06
Sc (0.9231, 0.0000, 0.8462)  4 Zn 2.90, 7 Cd 3.03-3.17, 2 Sc 3.06
Zn (0.3260, 0.5000, 0.6519)  3 Cd 2.70-2.80, 4 Sc 2.90

Volume, Å³/atom: 19.147
Density, g cm⁻³: 7.27
Space-group type: Amm2 (38)

---

# ScZnCd

A relaxed structure of ScZnCd (GGA-PBEsol, Alexandria).

Cell lengths 3.0928, 3.0928, 6.1974 Å; angles 104.45, 104.45, 90.00 degrees
Last column: nearest neighbours and their distance in Å.
Fractional coordinates of all 3 atoms:
Sc (0.3231, 0.3231, 0.6462)  4 Zn 2.85, 4 Cd 3.09, 4 Sc 3.09
Cd (0.0110, 0.0110, 0.0219)  4 Zn 2.83, 4 Sc 3.09, 4 Cd 3.09
Zn (0.6659, 0.6659, 0.3318)  4 Cd 2.83, 4 Sc 2.85, 4 Zn 3.09

Volume, Å³/atom: 18.489
Density, g cm⁻³: 6.67
Space-group type: I4mm (107)

---

# ScZn2Cd

A relaxed structure of ScZn2Cd (GGA-PBEsol, Alexandria).

Cell lengths 3.7945, 4.3049, 4.3049 Å; angles 90.00, 90.00, 90.00 degrees
Last column: nearest neighbours and their distance in Å.
Fractional coordinates of all 4 atoms:
Zn (0.0000, 0.0000, 0.5000)  4 Cd 2.87, 4 Sc 2.87, 4 Zn 3.04
Zn (0.0000, 0.5000, 0.0000)  4 Cd 2.87, 4 Sc 2.87, 4 Zn 3.04
Sc (0.5000, 0.0000, 0.0000)  8 Zn 2.87, 4 Cd 3.04
Cd (0.5000, 0.5000, 0.5000)  8 Zn 2.87, 4 Sc 3.04

Volume, Å³/atom: 17.580
Density, g cm⁻³: 6.81
Space-group type: P4/mmm (123)

---

# Sc3ZnCd

A relaxed structure of Sc3ZnCd (GGA-PBEsol, Alexandria).

Cell lengths 5.1936, 5.1936, 5.1936 Å; angles 90.00, 90.00, 90.00 degrees
Last column: nearest neighbours and their distance in Å.
Fractional coordinates of all 5 atoms:
Cd (0.0000, 0.0000, 0.0000)  6 Sc 2.60
Zn (0.5000, 0.5000, 0.5000)  12 Sc 3.67
Sc (0.0000, 0.5000, 0.0000)  2 Cd 2.60
Sc (0.0000, 0.0000, 0.5000)  2 Cd 2.60
Sc (0.5000, 0.0000, 0.0000)  2 Cd 2.60

Volume, Å³/atom: 28.018
Density, g cm⁻³: 3.71
Space-group type: Pm-3m (221)

---

# ScZn2Cd

A relaxed structure of ScZn2Cd (GGA-PBEsol, Alexandria).

Cell lengths 3.0746, 4.2769, 5.5501 Å; angles 90.00, 106.08, 90.00 degrees
Last column: nearest neighbours and their distance in Å.
Fractional coordinates of all 4 atoms:
Zn (0.0609, 0.5000, 0.1217)  2 Zn 2.54
Zn (0.1885, 0.0000, 0.3771)  2 Zn 2.54, 1 Cd 2.83
Sc (0.7901, 0.5000, 0.5802)  7 Zn 2.85-2.89, 2 Sc 3.07, 4 Cd 3.16
Cd (0.4542, 0.0000, 0.9085)  7 Zn 2.83-2.93, 2 Cd 3.07, 4 Sc 3.16

Volume, Å³/atom: 17.532
Density, g cm⁻³: 6.82
Space-group type: Amm2 (38)

---

# ScZnCd2

A relaxed structure of ScZnCd2 (GGA-PBEsol, Alexandria).

Cell lengths 4.1679, 4.1679, 4.4120 Å; angles 90.00, 90.00, 90.00 degrees
Last column: nearest neighbours and their distance in Å.
Fractional coordinates of all 4 atoms:
Sc (0.5000, 0.5000, 0.5000)  4 Zn 2.95, 8 Cd 3.03
Zn (0.0000, 0.0000, 0.5000)  4 Sc 2.95, 8 Cd 3.03
Cd (0.0000, 0.5000, 0.0000)  4 Cd 2.95, 4 Sc 3.03, 4 Zn 3.03
Cd (0.5000, 0.0000, 0.0000)  4 Cd 2.95, 4 Sc 3.03, 4 Zn 3.03

Volume, Å³/atom: 19.160
Density, g cm⁻³: 7.26
Space-group type: P4/mmm (123)

---

# ScZnCd

A relaxed structure of ScZnCd (GGA-PBEsol, Alexandria).

Cell lengths 3.1513, 4.5389, 4.5389 Å; angles 120.00, 90.00, 90.00 degrees
Last column: nearest neighbours and their distance in Å.
Fractional coordinates of all 3 atoms:
Sc (0.0000, 0.6667, 0.3333)  6 Zn 3.06, 6 Cd 3.06, 2 Sc 3.15
Cd (0.5000, 0.0000, 0.0000)  3 Zn 2.62
Zn (0.5000, 0.3333, 0.6667)  3 Cd 2.62

Volume, Å³/atom: 18.741
Density, g cm⁻³: 6.58
Space-group type: P-6m2 (187)

---

# ScZn2Cd

A relaxed structure of ScZn2Cd (GGA-PBEsol, Alexandria).

Cell lengths 4.5840, 4.5840, 4.5840 Å; angles 60.00, 60.00, 60.00 degrees
Last column: nearest neighbours and their distance in Å.
Fractional coordinates of all 4 atoms:
Zn (0.7500, 0.7500, 0.7500)  4 Cd 2.81, 4 Zn 2.81
Zn (0.0000, 0.0000, 0.0000)  4 Sc 2.81, 4 Zn 2.81
Sc (0.2500, 0.2500, 0.2500)  4 Cd 2.81, 4 Zn 2.81
Cd (0.5000, 0.5000, 0.5000)  4 Zn 2.81, 4 Sc 2.81

Volume, Å³/atom: 17.027
Density, g cm⁻³: 7.03
Space-group type: F-43m (216)

---

# ZrScCd

A relaxed structure of ZrScCd (GGA-PBEsol, Alexandria).

Cell lengths 3.1617, 3.1617, 7.6219 Å; angles 90.00, 90.00, 120.00 degrees
Last column: nearest neighbours and their distance in Å.
Fractional coordinates of all 3 atoms:
Zr (0.6667, 0.3333, 0.3370)  3 Sc 3.09, 3 Cd 3.16, 6 Zr 3.16
Sc (0.3333, 0.6667, 0.6644)  3 Zr 3.09, 3 Cd 3.13, 6 Sc 3.16
Cd (0.0000, 0.0000, 0.9986)  3 Sc 3.13, 3 Zr 3.16, 6 Cd 3.16

Volume, Å³/atom: 21.994
Density, g cm⁻³: 6.26
Space-group type: P3m1 (156)

---

# ZrScCd4

A relaxed structure of ZrScCd4 (GGA-PBEsol, Alexandria).

Cell lengths 5.6049, 5.6049, 5.6049 Å; angles 60.00, 60.00, 60.00 degrees
Last column: nearest neighbours and their distance in Å.
Fractional coordinates of all 6 atoms:
Cd (0.3748, 0.3748, 0.3748)  6 Cd 2.80-2.81
Cd (0.8755, 0.3748, 0.3748)  6 Cd 2.80-2.81
Cd (0.3748, 0.8755, 0.3748)  6 Cd 2.80-2.81
Cd (0.3748, 0.3748, 0.8755)  6 Cd 2.80-2.81
Sc (0.7500, 0.7500, 0.7500)  12 Cd 3.29, 4 Zr 3.43
Zr (0.0000, 0.0000, 0.0000)  12 Cd 3.29, 4 Sc 3.43

Volume, Å³/atom: 20.751
Density, g cm⁻³: 7.81
Space-group type: F-43m (216)

---

For each record above, in turn, the calculated energy of formation values are -2.48, -6.10, -2.57, -7.66, -3.40, -8.17, -2.35, -3.57, -5.60, -4.47, -4.52, -5.65, -5.23, 15.15, -5.05, -4.92, -6.96, -5.20, -1.57, -2.62 kcal/mol of atoms.
For each record above, in turn, the calculated N(E_F) values are 5.3, 5.6, 3.5, 4.2, 6.1, 4.0, 6.4, 5.1, 1.3, 2.4, 2.2, 2.1, 3.0, 10.3, 1.8, 2.8, 2.2, 1.3, 4.0, 5.0 states/eV/cell.